# 1
A plane-wave DFT calculation with PBE-GGA was carried out for a geometry-optimized PuGeBRh3 structure.

## Properties
E_form, meV per atom: -516

Cell lengths 5.703, 12.219, 5.751 Å; angles 90.00, 90.00, 90.00 degrees
Space group Cmcm (No. 63)
Asymmetric unit:
Pu1 0.000 0.247 0.250 [4 per cell]
Ge1 0.000 0.121 0.750 [4 per cell]
B1 0.000 0.487 0.750 [4 per cell]
Rh1 0.000 0.316 0.750 [4 per cell]
Rh2 0.248 0.000 0.000 [8 per cell]


# 2
A plane-wave DFT calculation with PBE-GGA was carried out for a geometry-optimized LaCu2W structure.

## Properties
E above lowest polymorph, meV/atom: 287.4
E_form, meV per atom: 648

Cell lengths 2.9421, 2.9421, 28.7334 Å; angles 90.00, 90.00, 120.00 degrees
Space group R-3m (No. 166, hexagonal axes)
Asymmetric unit:
La1 0.0000 0.0000 0.0000 [3 per cell]
Cu1 0.0000 0.0000 0.2388 [6 per cell]
W1 0.0000 0.0000 0.5000 [3 per cell]


# 3
A plane-wave DFT calculation with PBE-GGA was carried out for a geometry-optimized Ac4TbCd5 structure.

## Properties
E_form, meV per atom: -288

Cell lengths 4.003, 4.003, 20.167 Å; angles 90.00, 90.00, 90.00 degrees
Space group P4/mmm (No. 123)
Asymmetric unit:
Ac1 0.000 0.000 0.103 [2 per cell]
Ac2 0.000 0.000 0.311 [2 per cell]
Tb1 0.000 0.000 0.500 [1 per cell]
Cd1 0.500 0.500 0.000 [1 per cell]
Cd2 0.500 0.500 0.206 [2 per cell]
Cd3 0.500 0.500 0.418 [2 per cell]


# 4
A plane-wave DFT calculation with PBE-GGA was carried out for a geometry-optimized Pm2YSc structure.

## Properties
E above lowest polymorph, meV/atom: 12.3
E_form, meV per atom: 52

Cell lengths 3.5606, 3.5606, 34.1593 Å; angles 90.00, 90.00, 120.00 degrees
Space group R3m (No. 160, hexagonal axes)
Asymmetric unit:
Pm1 0.0000 0.0000 0.0000 [3 per cell]
Pm2 0.0000 0.0000 0.1729 [3 per cell]
Y1 0.0000 0.0000 0.4193 [3 per cell]
Sc1 0.0000 0.0000 0.5868 [3 per cell]


# 5
A plane-wave DFT calculation with PBE-GGA was carried out for a geometry-optimized Rb2PrBiO4 structure.

## Properties
Formation energy from raw total energies, meV per atom: -1906

Cell lengths 6.355, 3.682, 6.945 Å; angles 90.00, 107.75, 90.00 degrees
Space group P2/m (No. 10)
Asymmetric unit:
Rb1 0.000 0.000 0.000 [1 per cell]
Rb2 0.500 0.500 0.000 [1 per cell]
Pr1 0.000 0.500 0.500 [1 per cell]
Bi1 0.500 0.000 0.500 [1 per cell]
O1 0.226 0.000 0.685 [2 per cell]
O2 0.268 0.500 0.311 [2 per cell]


# 6
A plane-wave DFT calculation with PBE-GGA was carried out for a geometry-optimized Tl5Sb structure.

## Properties
E above lowest polymorph, meV/atom: 27.1
Formation energy from raw total energies, meV per atom: 14

Cell lengths 6.1463, 6.1463, 5.6698 Å; angles 90.00, 90.00, 120.00 degrees
Space group P-62m (No. 189)
Asymmetric unit:
Tl1 0.0000 0.6756 0.0000 [3 per cell]
Tl2 0.3333 0.6667 0.5000 [2 per cell]
Sb1 0.0000 0.0000 0.5000 [1 per cell]


# 7
A plane-wave DFT calculation with PBE-GGA was carried out for a geometry-optimized SnSbPb structure.

## Properties
E above lowest polymorph, meV/atom: 0.0
Formation energy from raw total energies, meV per atom: 55

Cell lengths 5.4977, 5.4977, 3.3480 Å; angles 90.00, 90.00, 120.00 degrees
Space group P3m1 (No. 156)
Asymmetric unit:
Sn1 0.0000 0.0000 0.0000 [1 per cell]
Sb1 0.6667 0.3333 0.9858 [1 per cell]
Pb1 0.3333 0.6667 0.5137 [1 per cell]


# 8
A plane-wave DFT calculation with PBE-GGA was carried out for a geometry-optimized AcHg3Pd2 structure.

## Properties
E above lowest polymorph, meV/atom: 108.0
E_form, meV per atom: -294

Cell lengths 6.7738, 6.7738, 21.5556 Å; angles 90.00, 90.00, 120.00 degrees
Space group R-3m (No. 166, hexagonal axes)
Asymmetric unit:
Ac1 0.0000 0.0000 0.2266 [6 per cell]
Hg1 0.0078 0.5039 0.2354 [18 per cell]
Pd1 0.0000 0.0000 0.0000 [3 per cell]
Pd2 0.0000 0.5000 0.0000 [9 per cell]


# 9
A plane-wave DFT calculation with PBE-GGA was carried out for a geometry-optimized V3AsAu structure.

## Properties
E above lowest polymorph, meV/atom: 680.9
E_form, meV per atom: 1308

Cell lengths 4.828, 4.828, 4.828 Å; angles 90.00, 90.00, 90.00 degrees
Space group Pm-3m (No. 221)
Asymmetric unit:
V1 0.000 0.000 0.500 [3 per cell]
As1 0.500 0.500 0.500 [1 per cell]
Au1 0.000 0.000 0.000 [1 per cell]


# 10
A plane-wave DFT calculation with PBE-GGA was carried out for a geometry-optimized La4CSCl2 structure.

## Properties
Formation energy from raw total energies, meV per atom: -1472

Cell lengths 7.117, 3.992, 7.387 Å; angles 90.00, 107.88, 90.00 degrees
Space group P2/m (No. 10)
Asymmetric unit:
La1 0.212 0.000 0.202 [2 per cell]
La2 0.234 0.500 0.788 [2 per cell]
C1 0.000 0.500 0.000 [1 per cell]
S1 0.500 0.000 0.000 [1 per cell]
Cl1 0.000 0.000 0.500 [1 per cell]
Cl2 0.500 0.500 0.500 [1 per cell]


# 11
A plane-wave DFT calculation with PBE-GGA was carried out for a geometry-optimized Tb2Tm3Sn2 structure.

## Properties
E_form, meV per atom: -451

Cell lengths 11.789, 4.430, 8.410 Å; angles 90.00, 110.06, 90.00 degrees
Space group C2/m (No. 12)
Asymmetric unit:
Tb1 0.134 0.000 0.286 [4 per cell]
Tm1 0.000 0.500 0.500 [2 per cell]
Tm2 0.124 0.500 0.937 [4 per cell]
Sn1 0.171 0.000 0.699 [4 per cell]


# 12
A plane-wave DFT calculation with PBE-GGA was carried out for a geometry-optimized SrTa2Zn structure.

## Properties
E_form, meV per atom: 923

Cell lengths 2.841, 4.916, 6.063 Å; angles 90.00, 90.00, 90.00 degrees
Space group Pmmm (No. 47)
Asymmetric unit:
Sr1 0.000 0.000 0.000 [1 per cell]
Ta1 0.500 0.500 0.268 [2 per cell]
Zn1 0.000 0.000 0.500 [1 per cell]